Record 1
Ho4Er3Co2 | PBE | relaxed

Properties
DOS at the Fermi energy ... 9.56 states/eV per cell
Space group ... No. 12

Lattice parameters (Å, degrees): 8.2844 8.2844 8.8488 112.50 112.50 24.99
Last column: nearest neighbours and their distance in Å.
Atoms (fractional coordinates):
Ho1 0.1353 0.1353 0.3934  7 Ho 3.58-3.88, 6 Er 3.61-3.76, 2 Co 3.94-4.00
Ho2 0.2714 0.2714 0.8527  3 Co 2.70-2.85
Ho3 0.7286 0.7286 0.1473  3 Co 2.70-2.85
Ho4 0.8647 0.8647 0.6066  7 Ho 3.58-3.88, 6 Er 3.61-3.76, 2 Co 3.94-4.00
Er1 0.4278 0.4278 0.3072  2 Co 2.68
Er2 0.5000 0.5000 0.0000  4 Co 2.84
Er3 0.5722 0.5722 0.6928  2 Co 2.68
Co1 0.1184 0.1184 0.9364  4 Er 2.68-2.84, 3 Ho 2.70-2.85
Co2 0.8816 0.8816 0.0636  4 Er 2.68-2.84, 3 Ho 2.70-2.85



Record 2
AcBeP | PBE | relaxed

Properties
DOS at the Fermi energy ... 2.56 states/eV per cell
Space group ... No. 129

Lattice parameters (Å, degrees): 3.8883 3.8883 8.8408 90.00 90.00 90.00
Last column: nearest neighbours and their distance in Å.
Atoms (fractional coordinates):
Ac1 0.2500 0.2500 0.2019  4 P 3.13, 4 Be 3.28
Ac2 0.7500 0.7500 0.7981  4 P 3.13, 4 Be 3.28
Be1 0.2500 0.7500 0.5000  4 P 2.25
Be2 0.7500 0.2500 0.5000  4 P 2.25
P1 0.2500 0.2500 0.6283  4 Be 2.25
P2 0.7500 0.7500 0.3717  4 Be 2.25



Record 3
RbNa2GeIr | PBE | relaxed

Properties
DOS at the Fermi energy ... 2.57 states/eV per cell
Space group ... No. 123

Lattice parameters (Å, degrees): 5.6406 5.6406 4.7186 90.00 90.00 90.00
Last column: nearest neighbours and their distance in Å.
Atoms (fractional coordinates):
Rb1 0.0000 0.0000 0.0000  8 Na 3.68, 4 Ge 3.99
Na1 0.0000 0.5000 0.5000  2 Ir 2.82
Na2 0.5000 0.0000 0.5000  2 Ir 2.82
Ge1 0.5000 0.5000 0.0000  2 Ir 2.36
Ir1 0.5000 0.5000 0.5000  2 Ge 2.36



Record 4
LaInP | PBE | relaxed

Properties
DOS at the Fermi energy ... 2.00 states/eV per cell
Space group ... No. 42

Lattice parameters (Å, degrees): 6.5176 6.2578 3.7085 77.01 69.32 33.67
Last column: nearest neighbours and their distance in Å.
Atoms (fractional coordinates):
La1 0.0000 0.0000 0.0000  2 P 2.85
In1 0.7112 0.7112 0.2888  2 P 2.83
P1 0.3541 0.3541 0.6459  2 In 2.83, 2 La 2.85



no.,calculated formation energy (eV per atom)
1,-0.12
2,-0.56
3,0.02
4,-0.54